Record 1
Computed, not measured: a geometry-optimized SrCSe2Br structure at the PBE-GGA level of DFT.

Geometry as POSCAR:
```
SrCSe2Br
1.0
5.4092 0.0000 0.0000
0.0000 5.4092 0.0000
0.0000 0.0000 4.3530
Sr C Se Br
1 1 2 1
direct
0.0000 0.0000 0.0000 Sr
0.5000 0.5000 0.0000 C
0.0000 0.5000 0.5000 Se
0.5000 0.0000 0.5000 Se
0.5000 0.5000 0.5000 Br
```

Calculated values
- Volume: 25.473 Å³/atom
- Size of the total moment: 1.7 μB/f.u.
- Raw total energy: -16.00 eV for the cell shown
- Formation energy from raw total energies: 710 meV per atom

---

Record 2
Computed, not measured: a geometry-optimized BaLa3Pt structure at the PBE-GGA level of DFT.

Geometry as POSCAR:
```
BaLa3Pt
1.0
6.8052 -2.0242 0.0000
6.8052 2.0242 0.0000
-5.7121 0.0000 13.4579
Ba La Pt
2 6 2
direct
0.0094 0.0094 0.1620 Ba
0.9906 0.9906 0.8380 Ba
0.1182 0.1182 0.4444 La
0.2954 0.2954 0.9226 La
0.3315 0.3315 0.3055 La
0.6685 0.6685 0.6945 La
0.7046 0.7046 0.0774 La
0.8818 0.8818 0.5556 La
0.2982 0.2982 0.6510 Pt
0.7018 0.7018 0.3490 Pt
```

Calculated values
- Volume: 37.077 Å³/atom
- Formation energy: -9.24 kcal/mol of atoms
- Size of the total moment: 0.0 μB/f.u.
- Raw total energy: -49.50 eV for the cell shown

---

Record 3
Computed, not measured: a geometry-optimized Al3CuNi structure at the PBE-GGA level of DFT.

Geometry as POSCAR:
```
Al3CuNi
1.0
5.8929 0.0000 0.0000
0.0000 5.8929 0.0000
0.0000 0.0000 5.8929
Al Cu Ni
9 3 3
direct
0.0000 0.0000 0.0000 Al
0.2683 0.2683 0.2683 Al
0.2683 0.2683 0.7317 Al
0.2683 0.7317 0.2683 Al
0.2683 0.7317 0.7317 Al
0.7317 0.2683 0.2683 Al
0.7317 0.2683 0.7317 Al
0.7317 0.7317 0.2683 Al
0.7317 0.7317 0.7317 Al
0.0000 0.0000 0.5000 Cu
0.0000 0.5000 0.0000 Cu
0.5000 0.0000 0.0000 Cu
0.0000 0.5000 0.5000 Ni
0.5000 0.0000 0.5000 Ni
0.5000 0.5000 0.0000 Ni
```

Calculated values
- Volume: 13.642 Å³/atom
- Formation energy: -7.40 kcal/mol of atoms
- Size of the total moment: 0.0 μB/f.u.
- Raw total energy: -68.13 eV for the cell shown

---

Record 4
Computed, not measured: a geometry-optimized CeTl2Cu3F12 structure at the PBE-GGA level of DFT.

Geometry as POSCAR:
```
CeTl2Cu3F12
1.0
3.8129 2.2014 5.4231
-3.8129 2.2014 5.4231
0.0000 -4.4028 5.4231
Ce Tl Cu F
1 2 3 12
direct
0.0000 0.0000 0.0000 Ce
0.3895 0.3895 0.3895 Tl
0.6105 0.6105 0.6105 Tl
0.0000 0.0000 0.5000 Cu
0.0000 0.5000 0.0000 Cu
0.5000 0.0000 0.0000 Cu
0.0958 0.7347 0.7347 F
0.1267 0.1267 0.6166 F
0.1267 0.6166 0.1267 F
0.2653 0.2653 0.9042 F
0.2653 0.9042 0.2653 F
0.3834 0.8733 0.8733 F
0.6166 0.1267 0.1267 F
0.7347 0.0958 0.7347 F
0.7347 0.7347 0.0958 F
0.8733 0.3834 0.8733 F
0.8733 0.8733 0.3834 F
0.9042 0.2653 0.2653 F
```

Calculated values
- Volume: 15.173 Å³/atom
- Size of the total moment: 3.0 μB/f.u.
- Raw total energy: -84.40 eV for the cell shown
- Formation energy from raw total energies: -2166 meV per atom